The following is a PBE calculation of a relaxed structure of ZnCdN2, from Alexandria via LeMat-Bulk.

abc: 6.2658 6.2658 6.2658
angles: 31.98 31.98 31.98
Last column: nearest neighbours and their distance in Å.
Positions (direct):
N  0.1027  0.1027  0.1027  1 Zn 1.83
N  0.8973  0.8973  0.8973  1 Zn 1.83
Zn  0.0000  0.0000  0.0000  2 N 1.83
Cd  0.5000  0.5000  0.5000  6 N 2.30

symmetry = R-3m (166)

The following is a PBE calculation of a relaxed structure of ZrCdN2, from Alexandria via LeMat-Bulk.

abc: 3.8646 3.8646 8.4972
angles: 90.00 90.00 90.00
Last column: nearest neighbours and their distance in Å.
Positions (direct):
N  0.0000  0.5000  0.8536  1 Zr 2.09, 1 Cd 2.23
N  0.5000  0.0000  0.1464  1 Zr 2.09, 1 Cd 2.23
N  0.0000  0.0000  0.5000  4 Zr 2.14
N  0.5000  0.5000  0.5000  4 Zr 2.14
Cd  0.5000  0.0000  0.8844  1 N 2.23
Cd  0.0000  0.5000  0.1156  1 N 2.23
Zr  0.0000  0.5000  0.6079  5 N 2.09-2.14
Zr  0.5000  0.0000  0.3921  5 N 2.09-2.14

symmetry = P4/nmm (129)

The following is a PBE calculation of a relaxed structure of ZrCdN3, from Alexandria via LeMat-Bulk.

abc: 4.2443 4.2443 4.2443
angles: 90.00 90.00 90.00
Last column: nearest neighbours and their distance in Å.
Positions (direct):
N  0.0000  0.0000  0.5000  2 Zr 2.12
N  0.5000  0.0000  0.0000  2 Zr 2.12
N  0.0000  0.5000  0.0000  2 Zr 2.12
Zr  0.0000  0.0000  0.0000  6 N 2.12
Cd  0.5000  0.5000  0.5000  12 N 3.00

symmetry = Pm-3m (221)

The following is a PBE calculation of a relaxed structure of Zr4CdN2, from Alexandria via LeMat-Bulk.

abc: 3.4005 5.9966 11.9648
angles: 90.00 90.00 106.47
Last column: nearest neighbours and their distance in Å.
Positions (direct):
Zr  0.5000  0.0000  0.0000  4 N 2.39
Zr  0.2446  0.4892  0.8993  3 N 2.26-2.32
Zr  0.9127  0.8254  0.7500  2 N 2.32
Zr  0.7554  0.5108  0.1007  3 N 2.26-2.32
Zr  0.5000  0.0000  0.5000  4 N 2.39
Zr  0.0873  0.1746  0.2500  2 N 2.32
Zr  0.2446  0.4892  0.6007  3 N 2.26-2.32
Zr  0.7554  0.5108  0.3993  3 N 2.26-2.32
N  0.8678  0.7355  0.9394  6 Zr 2.26-2.39
N  0.1322  0.2645  0.0606  6 Zr 2.26-2.39
N  0.1322  0.2645  0.4394  6 Zr 2.26-2.39
N  0.8678  0.7355  0.5606  6 Zr 2.26-2.39
Cd  0.3882  0.7764  0.2500  6 Zr 2.85-2.90
Cd  0.6118  0.2236  0.7500  6 Zr 2.85-2.90

symmetry = Cmcm (63)

The following is a PBE calculation of a relaxed structure of ZrCdN2, from Alexandria via LeMat-Bulk.

abc: 5.0868 5.0868 6.1927
angles: 65.75 65.75 90.00
Last column: nearest neighbours and their distance in Å.
Positions (direct):
Cd  0.0000  0.0000  0.0000  4 N 2.31
Cd  0.7500  0.2500  0.5000  4 N 2.31
Zr  0.5000  0.5000  0.0000  4 N 2.09
Zr  0.2500  0.7500  0.5000  4 N 2.09
N  0.1615  0.6250  0.2500  2 Zr 2.09, 2 Cd 2.31
N  0.5885  0.1250  0.2500  2 Zr 2.09, 2 Cd 2.31
N  0.8750  0.8385  0.7500  2 Zr 2.09, 2 Cd 2.31
N  0.3750  0.4115  0.7500  2 Zr 2.09, 2 Cd 2.31

symmetry = I-42d (122)

The following is a PBE calculation of a relaxed structure of ZrCdN3, from Alexandria via LeMat-Bulk.

abc: 4.0039 4.0039 4.0039
angles: 90.00 90.00 90.00
Last column: nearest neighbours and their distance in Å.
Positions (direct):
Cd  0.0000  0.0000  0.0000  6 N 2.00
Zr  0.5000  0.5000  0.5000  12 N 2.83
N  0.5000  0.0000  0.0000  2 Cd 2.00
N  0.0000  0.5000  0.0000  2 Cd 2.00
N  0.0000  0.0000  0.5000  2 Cd 2.00

symmetry = Pm-3m (221)

The following is a PBE calculation of a relaxed structure of ZrCdN2, from Alexandria via LeMat-Bulk.

abc: 6.5630 6.5630 6.5630
angles: 30.09 30.09 30.09
Last column: nearest neighbours and their distance in Å.
Positions (direct):
N  0.8908  0.8908  0.8908  1 Cd 2.05, 3 Zr 2.24
N  0.1092  0.1092  0.1092  1 Cd 2.05, 3 Zr 2.24
Zr  0.5000  0.5000  0.5000  6 N 2.24
Cd  0.0000  0.0000  0.0000  2 N 2.05

symmetry = R-3m (166)

The following is a PBE calculation of a relaxed structure of Zr6Cd3N, from Alexandria via LeMat-Bulk.

abc: 6.9379 6.0810 6.0810
angles: 61.42 77.35 77.35
Last column: nearest neighbours and their distance in Å.
Positions (direct):
Cd  0.2467  0.1697  0.1697  1 Cd 2.76, 4 Zr 3.03
Cd  0.0000  0.0000  0.0000  2 Cd 2.76, 4 Zr 2.99
Cd  0.7533  0.8303  0.8303  1 Cd 2.76, 4 Zr 3.03
Zr  0.6311  0.8549  0.3689  1 N 2.24
Zr  0.8008  0.3412  0.3412  1 N 2.31
Zr  0.3689  0.1451  0.6311  1 N 2.24
Zr  0.1992  0.6588  0.6588  1 N 2.31
Zr  0.3689  0.6311  0.1451  1 N 2.24
Zr  0.6311  0.3689  0.8549  1 N 2.24
N  0.5000  0.5000  0.5000  6 Zr 2.24-2.31

symmetry = C2/m (12)

It is found that the final energy values, taken in the order of the records, are -3.671, -7.048, -6.181, -8.403, -7.179, -5.443, -7.109, -6.465 eV/atom.